(1)
Entry from Alexandria via LeMat-Bulk: a relaxed structure of FePt2Rh (PBE-GGA).

It has space group R-3m (No. 166, hexagonal axes), with a = 2.7343 Å, b = 2.7343 Å, c = 26.9846 Å, α = 90.00°, β = 90.00° and γ = 120.00°. The distinct sites, in fractional coordinates, are Fe at (0.0000, 0.0000, 0.0000), Pt at (0.0000, 0.0000, 0.2537) and Rh at (0.0000, 0.0000, 0.5000).

Its formation energy is -0.4 eV/f.u.

---

(2)
Entry from Alexandria via LeMat-Bulk: a relaxed structure of TlTe3 (PBE-GGA).

It has space group Pm-3m (No. 221), with a = 4.977 Å, b = 4.977 Å, c = 4.977 Å, α = 90.00°, β = 90.00° and γ = 90.00°. The distinct sites, in fractional coordinates, are Tl at (0.000, 0.000, 0.000) and Te at (0.000, 0.500, 0.500).

As for the raw formation energy: 0.193 eV per atom.